The following is a DFT calculation (GGA-PBE) of InGaPdPt after structural relaxation.

Geometry as POSCAR:
```
InGaPdPt
1.0
6.451 0.000 0.000
0.000 6.451 0.000
0.000 0.000 6.451
In Ga Pd Pt
4 4 4 4
direct
0.000 0.000 0.000
0.000 0.500 0.500
0.500 0.000 0.500
0.500 0.500 0.000
0.000 0.000 0.500
0.000 0.500 0.000
0.500 0.000 0.000
0.500 0.500 0.500
0.250 0.250 0.250
0.250 0.750 0.750
0.750 0.250 0.750
0.750 0.750 0.250
0.250 0.250 0.750
0.250 0.750 0.250
0.750 0.250 0.250
0.750 0.750 0.750
```

The calculation puts the formation energy at -0.47 eV/atom. The value obtained for the energy is -18.9 eV/f.u. The density of states at the Fermi level is 2.44 states/eV/f.u.

***

The following is a DFT calculation (GGA-PBE) of SrTa2Cr after structural relaxation.

Geometry as POSCAR:
```
SrTa2Cr
1.0
4.087 0.000 0.000
0.000 4.087 0.000
0.000 0.000 5.137
Sr Ta Cr
1 2 1
direct
0.000 0.000 0.000
0.000 0.500 0.500
0.500 0.000 0.500
0.500 0.500 0.000
```

The calculation puts the formation energy at 1.09 eV/atom. The value obtained for the energy is -30.7 eV/f.u. The calculation puts the polymorph energy (0 for the lowest one) at 496 meV/atom. The density of states at the Fermi level is 4.07 states/eV/f.u.

***

The following is a DFT calculation (GGA-PBE) of Pr3DyIr3 after structural relaxation.

Geometry as POSCAR:
```
Pr3DyIr3
1.0
5.497 -4.847 0.000
5.497 4.847 0.000
-1.408 0.000 6.734
Pr Dy Ir
6 2 6
direct
0.192 0.808 0.000
0.278 0.722 0.500
0.297 0.297 0.995
0.703 0.703 0.005
0.722 0.278 0.500
0.808 0.192 0.000
0.212 0.212 0.453
0.788 0.788 0.547
0.002 0.503 0.260
0.053 0.053 0.712
0.497 0.998 0.740
0.503 0.002 0.260
0.947 0.947 0.288
0.998 0.497 0.740
```

The calculation puts the formation energy at -0.53 eV/atom. The value obtained for the energy is -49.2 eV/f.u. The density of states at the Fermi level is 4.13 states/eV/f.u.